1.
{
  "formula": "Ac8GaPb3",
  "functional": "PBE",
  "state": "relaxed",
  "e_tot_ev_per_atom": -4.146,
  "m_tot_mub_per_fu": 0.03,
  "lattice": [[7.957, 0.000, 0.000], [0.000, 7.957, 0.000], [-3.978, -3.978, 7.961]],
  "species": ["Ac", "Ac", "Ac", "Ac", "Ac", "Ac", "Ac", "Ac", "Ga", "Pb", "Pb", "Pb"],
  "fractional_positions": [[0.365, 0.365, 0.242], [0.365, 0.877, 0.242], [0.123, 0.635, 0.758], [0.123, 0.123, 0.758], [0.877, 0.877, 0.242], [0.877, 0.365, 0.242], [0.635, 0.123, 0.758], [0.635, 0.635, 0.758], [0.000, 0.000, 0.000], [0.750, 0.250, 0.500], [0.500, 0.500, 0.000], [0.250, 0.750, 0.500]]
}

---

2.
{
  "formula": "Ac4Ga2Pb5",
  "functional": "PBE",
  "state": "relaxed",
  "e_tot_ev_per_atom": -4.149,
  "m_tot_mub_per_fu": 0.00,
  "lattice": [[-2.378, -2.056, 2.223], [6.218, -5.826, 1.263], [2.745, 6.074, 8.555]],
  "species": ["Ac", "Ac", "Ac", "Ac", "Ga", "Ga", "Pb", "Pb", "Pb", "Pb", "Pb"],
  "fractional_positions": [[0.500, 0.745, 0.564], [0.500, 0.175, 0.870], [0.500, 0.255, 0.436], [0.500, 0.825, 0.130], [0.000, 0.063, 0.624], [0.000, 0.937, 0.376], [0.000, 0.568, 0.308], [0.000, 0.181, 0.160], [0.000, 0.500, 0.000], [0.000, 0.819, 0.840], [0.000, 0.432, 0.692]]
}

---

3.
{
  "formula": "Ac5Ga4Pb",
  "functional": "PBE",
  "state": "relaxed",
  "e_tot_ev_per_atom": -4.082,
  "m_tot_mub_per_fu": 0.00,
  "lattice": [[-3.583, 0.303, 1.651], [1.528, -1.019, 3.504], [3.517, 19.335, 4.087]],
  "species": ["Ac", "Ac", "Ac", "Ac", "Ac", "Ga", "Ga", "Ga", "Ga", "Pb"],
  "fractional_positions": [[0.500, 0.500, 0.113], [0.500, 0.500, 0.306], [0.500, 0.500, 0.500], [0.500, 0.500, 0.694], [0.500, 0.500, 0.887], [0.000, 0.000, 0.211], [0.000, 0.000, 0.403], [0.000, 0.000, 0.597], [0.000, 0.000, 0.789], [0.000, 0.000, 0.000]]
}

---

4.
{
  "formula": "Ac3Ga2Pb3",
  "functional": "PBE",
  "state": "relaxed",
  "polymorph_energy_kcal_per_mol_atoms": 0.00,
  "e_tot_ev_per_atom": -4.153,
  "m_tot_mub_per_fu": 0.00,
  "lattice": [[4.777, 0.000, 0.000], [-2.389, 6.202, 0.000], [0.000, 0.000, 17.146]],
  "species": ["Ac", "Ac", "Ac", "Ac", "Ac", "Ac", "Ga", "Ga", "Ga", "Ga", "Pb", "Pb", "Pb", "Pb", "Pb", "Pb"],
  "fractional_positions": [[0.934, 0.869, 0.390], [0.066, 0.131, 0.890], [0.934, 0.869, 0.110], [0.066, 0.131, 0.610], [0.662, 0.324, 0.250], [0.338, 0.676, 0.750], [0.787, 0.574, 0.880], [0.213, 0.426, 0.380], [0.787, 0.574, 0.620], [0.213, 0.426, 0.120], [0.637, 0.274, 0.467], [0.363, 0.726, 0.967], [0.637, 0.274, 0.033], [0.363, 0.726, 0.533], [0.386, 0.772, 0.250], [0.614, 0.228, 0.750]]
}

---

5.
{
  "formula": "Ac5GaPb2",
  "functional": "PBE",
  "state": "relaxed",
  "e_tot_ev_per_atom": -4.319,
  "m_tot_mub_per_fu": 0.00,
  "lattice": [[5.089, 0.000, 0.000], [0.000, 8.971, 0.000], [0.000, 0.000, 13.486]],
  "species": ["Ac", "Ac", "Ac", "Ac", "Ac", "Ac", "Ac", "Ac", "Ac", "Ac", "Ga", "Ga", "Pb", "Pb", "Pb", "Pb"],
  "fractional_positions": [[0.000, 0.000, 0.500], [0.000, 0.500, 0.000], [0.000, 0.846, 0.212], [0.000, 0.154, 0.788], [0.000, 0.654, 0.712], [0.000, 0.346, 0.288], [0.500, 0.690, 0.430], [0.500, 0.310, 0.570], [0.500, 0.810, 0.930], [0.500, 0.190, 0.070], [0.000, 0.500, 0.500], [0.000, 0.000, 0.000], [0.500, 0.573, 0.172], [0.500, 0.427, 0.828], [0.500, 0.927, 0.672], [0.500, 0.073, 0.328]]
}

---

6.
{
  "formula": "Ac2GaPb2",
  "functional": "PBE",
  "state": "relaxed",
  "polymorph_energy_kcal_per_mol_atoms": 0.00,
  "e_tot_ev_per_atom": -4.234,
  "m_tot_mub_per_fu": 0.00,
  "lattice": [[-0.328, 0.488, 4.715], [5.981, 1.564, 2.648], [-1.356, 11.425, 1.117]],
  "species": ["Ac", "Ac", "Ac", "Ac", "Ga", "Ga", "Pb", "Pb", "Pb", "Pb"],
  "fractional_positions": [[0.695, 0.266, 0.344], [0.912, 0.273, 0.902], [0.305, 0.734, 0.656], [0.088, 0.727, 0.098], [0.531, 0.222, 0.716], [0.469, 0.778, 0.284], [0.080, 0.271, 0.568], [0.654, 0.825, 0.868], [0.920, 0.729, 0.432], [0.346, 0.175, 0.132]]
}

---

7.
{
  "formula": "AcGa4Pb",
  "functional": "PBE",
  "state": "relaxed",
  "e_tot_ev_per_atom": -3.534,
  "m_tot_mub_per_fu": 0.00,
  "lattice": [[-4.794, -2.692, -2.052], [-1.549, -5.250, 2.116], [-4.761, -0.507, 3.394]],
  "species": ["Pb", "Ac", "Ga", "Ga", "Ga", "Ga"],
  "fractional_positions": [[0.000, 0.000, 0.000], [0.250, 0.250, 0.250], [0.626, 0.626, 0.123], [0.626, 0.123, 0.626], [0.626, 0.626, 0.626], [0.123, 0.626, 0.626]]
}

---

8.
{
  "formula": "Ac6Ga2Pb",
  "functional": "PBE",
  "state": "relaxed",
  "e_tot_ev_per_atom": -4.176,
  "m_tot_mub_per_fu": 0.00,
  "lattice": [[-5.325, 5.484, 5.763], [5.325, -5.484, 5.763], [5.325, 5.484, -5.763]],
  "species": ["Ac", "Ac", "Ac", "Ac", "Ac", "Ac", "Ac", "Ac", "Ac", "Ac", "Ac", "Ac", "Ga", "Ga", "Ga", "Ga", "Pb", "Pb"],
  "fractional_positions": [[0.180, 0.721, 0.901], [0.820, 0.279, 0.099], [0.180, 0.279, 0.458], [0.820, 0.721, 0.542], [0.964, 0.763, 0.201], [0.036, 0.237, 0.799], [0.563, 0.763, 0.799], [0.437, 0.237, 0.201], [0.675, 0.376, 0.701], [0.325, 0.624, 0.299], [0.675, 0.974, 0.299], [0.325, 0.026, 0.701], [0.885, 0.385, 0.500], [0.115, 0.615, 0.500], [0.366, 0.000, 0.366], [0.634, 0.000, 0.634], [0.500, 0.500, 0.000], [0.000, 0.000, 0.000]]
}